1.
DFT (PBE-GGA) results for a relaxed structure of YIn2Ni.

## Properties
The volume is 20.87 Å³/atom. The calculated density comes out at 7.5 g/cm³. The calculation puts the electronic total energy at -4.692 eV per atom. The energy of formation from the pure elements comes out at -0.26 eV/atom.

CIF file:
```
data_YIn2Ni
_chemical_formula_sum 'Y1 In2 Ni1'
_cell_length_a 3.3239
_cell_length_b 3.3239
_cell_length_c 7.5556
_cell_angle_alpha 90.00
_cell_angle_beta 90.00
_cell_angle_gamma 90.00
_space_group_name_H-M_alt 'P 4/m m m'
_space_group_IT_number 123
_space_group_name_Hall '-P 4 2'
loop_
_atom_site_label
_atom_site_type_symbol
_atom_site_fract_x
_atom_site_fract_y
_atom_site_fract_z
Y1 Y 0.0000 0.0000 0.0000
In1 In 0.5000 0.5000 0.3017
Ni1 Ni 0.0000 0.0000 0.5000
```

=====

2.
DFT (PBE-GGA) results for a relaxed structure of Mg2Zr7Sc2.

## Properties
The volume is 23.86 Å³/atom. The calculated density comes out at 4.9 g/cm³. The calculation puts the electronic total energy at -6.736 eV per atom. The energy of formation from the pure elements comes out at 0.14 eV/atom.

CIF file:
```
data_Mg2Zr7Sc2
_chemical_formula_sum 'Mg4 Zr14 Sc4'
_cell_length_a 3.2668
_cell_length_b 15.1718
_cell_length_c 10.5893
_cell_angle_alpha 90.00
_cell_angle_beta 90.00
_cell_angle_gamma 90.00
_space_group_name_H-M_alt 'I m m 2'
_space_group_IT_number 44
_space_group_name_Hall 'I 2 -2'
loop_
_atom_site_label
_atom_site_type_symbol
_atom_site_fract_x
_atom_site_fract_y
_atom_site_fract_z
Mg1 Mg 0.0000 0.0000 0.0000
Mg2 Mg 0.0000 0.5000 0.2610
Zr1 Zr 0.0000 0.0000 0.5110
Zr2 Zr 0.0000 0.1922 0.7550
Zr3 Zr 0.0000 0.3280 0.5058
Zr4 Zr 0.0000 0.3350 0.9952
Sc1 Sc 0.0000 0.1194 0.2513
```

=====

3.
DFT (PBE-GGA) results for a relaxed structure of Cd5PbAu2.

## Properties
The volume is 22.75 Å³/atom. The calculated density comes out at 10.6 g/cm³. The calculation puts the electronic total energy at -1.946 eV per atom. The energy of formation from the pure elements comes out at -0.09 eV/atom.

CIF file:
```
data_Cd5PbAu2
_chemical_formula_sum 'Cd10 Pb2 Au4'
_cell_length_a 3.6057
_cell_length_b 9.1590
_cell_length_c 11.0220
_cell_angle_alpha 90.00
_cell_angle_beta 90.00
_cell_angle_gamma 90.00
_space_group_name_H-M_alt 'I m m m'
_space_group_IT_number 71
_space_group_name_Hall '-I 2 2'
loop_
_atom_site_label
_atom_site_type_symbol
_atom_site_fract_x
_atom_site_fract_y
_atom_site_fract_z
Cd1 Cd 0.0000 0.0000 0.0000
Cd2 Cd 0.0000 0.2861 0.3610
Pb1 Pb 0.0000 0.5000 0.0000
Au1 Au 0.0000 0.0000 0.2618
```

=====

4.
DFT (PBE-GGA) results for a relaxed structure of CaMg2Re.

## Properties
The volume is 21.89 Å³/atom. For the energy above the lowest structure with this stoichiometry, the calculation gives 5.4 kJ/mol of atoms. The calculated density comes out at 5.2 g/cm³. The calculation puts the electronic total energy at -3.944 eV per atom. The energy of formation from the pure elements comes out at 0.47 eV/atom.

CIF file:
```
data_CaMg2Re
_chemical_formula_sum 'Ca2 Mg4 Re2'
_cell_length_a 3.0387
_cell_length_b 5.2755
_cell_length_c 10.9216
_cell_angle_alpha 90.00
_cell_angle_beta 90.00
_cell_angle_gamma 90.00
_space_group_name_H-M_alt 'I m m m'
_space_group_IT_number 71
_space_group_name_Hall '-I 2 2'
loop_
_atom_site_label
_atom_site_type_symbol
_atom_site_fract_x
_atom_site_fract_y
_atom_site_fract_z
Ca1 Ca 0.0000 0.0000 0.0000
Mg1 Mg 0.0000 0.5000 0.2119
Re1 Re 0.0000 0.0000 0.5000
```

=====

5.
DFT (PBE-GGA) results for a relaxed structure of BaIn2As.

## Properties
The volume is 31.63 Å³/atom. The calculated density comes out at 5.8 g/cm³. The calculation puts the electronic total energy at -3.436 eV per atom. The energy of formation from the pure elements comes out at -0.42 eV/atom.

CIF file:
```
data_BaIn2As
_chemical_formula_sum 'Ba2 In4 As2'
_cell_length_a 9.7830
_cell_length_b 4.3616
_cell_length_c 6.2653
_cell_angle_alpha 90.00
_cell_angle_beta 108.82
_cell_angle_gamma 90.00
_space_group_name_H-M_alt 'C 1 m 1'
_space_group_IT_number 8
_space_group_name_Hall 'C -2y'
loop_
_atom_site_label
_atom_site_type_symbol
_atom_site_fract_x
_atom_site_fract_y
_atom_site_fract_z
Ba1 Ba 0.0000 0.0000 0.0000
In1 In 0.2248 0.0000 0.6459
In2 In 0.4840 0.0000 0.4889
As1 As 0.2436 0.5000 0.3304
```

=====

Which formula does entry 3 have?
Cd5PbAu2

=====

What is the formula in the first record?
YIn2Ni